Material: Cu2O3
Method: DFT, SCAN
State: single point on PBEsol structure

Cell lengths 7.477, 3.500, 9.798 Å; angles 90.00, 106.73, 90.00 degrees
Fractional positions:
1 Cu 0.013 0.127 0.373
2 Cu 0.013 0.373 0.873
3 Cu 0.356 0.059 0.756
4 Cu 0.356 0.441 0.256
5 Cu 0.644 0.559 0.744
6 Cu 0.644 0.941 0.244
7 Cu 0.987 0.627 0.127
8 Cu 0.987 0.873 0.627
9 O 0.133 0.198 0.561
10 O 0.133 0.302 0.061
11 O 0.138 0.509 0.309
12 O 0.138 0.991 0.809
13 O 0.424 0.560 0.797
14 O 0.424 0.940 0.297
15 O 0.576 0.060 0.703
16 O 0.576 0.440 0.203
17 O 0.862 0.009 0.191
18 O 0.862 0.491 0.691
19 O 0.867 0.698 0.939
20 O 0.867 0.802 0.439

Calculated values
Crystal system ... monoclinic
Total moment ... 0.6 Bohr magnetons per cell
Uncorrected formation energy ... -515 meV/atom